The following is a DFT calculation (PBE) of a relaxed Sm2PaTc crystal.

Cell lengths 3.2925, 3.2925, 32.7207 Å; angles 90.00, 90.00, 120.00 degrees
Last column: nearest neighbours and their distance in Å.
Space group R-3m (No. 166, hexagonal axes)
Asymmetric unit:
1 Sm 0.0000 0.0000 0.1007 x6  3 Tc 2.88
2 Pa 0.0000 0.0000 0.0000 x3  6 Pa 3.29, 2 Sm 3.30
3 Tc 0.0000 0.0000 0.5000 x3  6 Sm 2.88

## Properties
E_tot ... -6.8691 eV per atom
Calculated density ... 10.21 g/cm3
V ... 307.2 Å³ per cell
Crystal system ... trigonal
Energy of formation from the pure elements ... 0.4560 eV per atom
Total magnetic moment ... 0.0 μB per formula unit

The following is a DFT calculation (PBE) of a relaxed CeLuCdCo crystal.

Cell lengths 7.1088, 7.1088, 7.1088 Å; angles 90.00, 90.00, 90.00 degrees
Last column: nearest neighbours and their distance in Å.
Space group F-43m (No. 216)
Asymmetric unit:
1 Ce 0.0000 0.0000 0.0000 x4  4 Cd 3.08, 4 Co 3.08
2 Lu 0.0000 0.0000 0.5000 x4  4 Cd 3.08, 4 Co 3.08
3 Cd 0.2500 0.2500 0.2500 x4  4 Lu 3.08, 4 Ce 3.08
4 Co 0.2500 0.2500 0.7500 x4  4 Ce 3.08, 4 Lu 3.08

## Properties
E_tot ... -4.6745 eV per atom
Calculated density ... 8.99 g/cm3
V ... 359.2 Å³ per cell
Crystal system ... cubic
Energy of formation from the pure elements ... -0.0556 eV per atom
Total magnetic moment ... 0.1 μB per formula unit

The following is a DFT calculation (PBE) of a relaxed Nd3Sm2Dy crystal.

Cell lengths 11.3028, 12.0409, 6.9598 Å; angles 90.00, 90.00, 90.00 degrees
Last column: nearest neighbours and their distance in Å.
Space group Ibam (No. 72)
Asymmetric unit:
1 Nd 0.0000 0.0000 0.2500 x4  4 Nd 3.19-3.48
2 Nd 0.0000 0.2652 0.2500 x8  3 Nd 3.19-3.48, 2 Dy 3.32, 4 Sm 3.37-3.40
3 Sm 0.2446 0.1961 0.0000 x8  4 Nd 3.37-3.40, 2 Sm 3.72, 1 Dy 3.73
4 Dy 0.0000 0.5000 0.0000 x4  4 Nd 3.32, 2 Dy 3.48

## Properties
E_tot ... -4.1656 eV per atom
Calculated density ... 6.28 g/cm3
V ... 947.2 Å³ per cell
Crystal system ... orthorhombic
Energy above the most stable polymorph in this dataset ... 507 meV per atom
Energy of formation from the pure elements ... 0.5584 eV per atom
Total magnetic moment ... 0.0 μB per formula unit